No. 1
This record from Alexandria describes a geometry-optimized TaTl2Br5 structure. The functional is PBE.

The structure belongs to space group Cm (No. 8); the cell edges are 11.4983, 8.9485 and 7.2494 Å and the angles 90.00°, 128.86° and 90.00°. The asymmetric unit holds Ta at (0.0000, 0.0000, 0.0000), Tl at (0.9995, 0.5000, 0.4216), Tl at (0.0005, 0.5000, 0.9225), Br at (0.0007, 0.0000, 0.6661), Br at (0.1950, 0.1954, 0.2867) and Br at (0.3045, 0.3046, 0.8961).

For the density of states at the Fermi level, the calculation gives 0.711 states/eV/atom. As for the total energy: -60.1 eV per cell.

***

No. 2
This record from Alexandria describes a geometry-optimized TaTlBr6 structure. The functional is PBE.

The structure belongs to space group R-3m (No. 166, hexagonal axes); the cell edges are 7.3343, 7.3343 and 20.0378 Å and the angles 90.00°, 90.00° and 120.00°. The asymmetric unit holds Ta at (0.0000, 0.0000, 0.0000), Tl at (0.0000, 0.0000, 0.5000) and Br at (0.0081, 0.5040, 0.5935).

For the density of states at the Fermi level, the calculation gives 0.000 states/eV/atom. The relative energy among the computed polymorphs is 0.0658 eV per atom.